First-principles (PBE) data for a relaxed structure of LiPuU2N4, as listed in Alexandria via LeMat-Bulk.

Structure (POSCAR):
```
LiPuU2N4
1.0
5.822 0.000 0.000
0.000 3.500 0.000
-2.035 0.000 5.668
Li Pu U N
1 1 2 4
direct
0.000 0.000 0.000
0.000 0.500 0.500
0.500 0.000 0.500
0.500 0.500 0.000
0.278 0.000 0.763
0.297 0.500 0.270
0.703 0.500 0.730
0.722 0.000 0.237
```

Computed properties:
- formation energy without anion corrections (eV per atom) = -1.132
- DOS at the Fermi energy (states/eV/cell) = 12.4

First-principles (PBE) data for a relaxed structure of MnBeSb2, as listed in Alexandria via LeMat-Bulk.

Structure (POSCAR):
```
MnBeSb2
1.0
-1.718 1.836 6.350
1.718 -1.836 6.350
1.718 1.836 -6.350
Mn Be Sb
1 1 2
direct
0.000 0.000 0.000
0.607 0.107 0.500
0.168 0.668 0.500
0.416 0.416 0.000
```

Computed properties:
- formation energy without anion corrections (eV per atom) = 0.239
- DOS at the Fermi energy (states/eV/cell) = 2.2

First-principles (PBE) data for a relaxed structure of Tb2Pm5PrTh, as listed in Alexandria via LeMat-Bulk.

Structure (POSCAR):
```
Tb2Pm5PrTh
1.0
2.865 -10.230 0.000
2.865 10.230 0.000
0.000 0.000 10.570
Tb Pm Pr Th
4 10 2 2
direct
0.114 0.886 0.500
0.116 0.884 0.088
0.884 0.116 0.588
0.886 0.114 0.000
0.016 0.984 0.790
0.276 0.724 0.083
0.294 0.706 0.473
0.388 0.612 0.794
0.478 0.522 0.508
0.522 0.478 0.008
0.612 0.388 0.294
0.706 0.294 0.973
0.724 0.276 0.583
0.984 0.016 0.290
0.411 0.589 0.215
0.589 0.411 0.715
0.200 0.800 0.781
0.800 0.200 0.281
```

Computed properties:
- energy of formation (eV per atom) = 0.16
- DOS at the Fermi energy (states/eV/cell) = 26.2

First-principles (PBE) data for a relaxed structure of TmAgHg6, as listed in Alexandria via LeMat-Bulk.

Structure (POSCAR):
```
TmAgHg6
1.0
3.084 1.781 7.742
-3.084 1.781 7.742
0.000 -3.561 7.742
Tm Ag Hg
1 1 6
direct
0.000 0.000 0.000
0.500 0.500 0.500
0.070 0.070 0.556
0.070 0.556 0.070
0.444 0.930 0.930
0.556 0.070 0.070
0.930 0.444 0.930
0.930 0.930 0.444
```

Computed properties:
- energy of formation (eV per atom) = 0.15
- DOS at the Fermi energy (states/eV/cell) = 2.3

First-principles (PBE) data for a relaxed structure of Pm7Pr6Y16, as listed in Alexandria via LeMat-Bulk.

Structure (POSCAR):
```
Pm7Pr6Y16
1.0
0.000 7.942 7.942
7.942 0.000 7.942
7.942 7.942 0.000
Pm Pr Y
7 6 16
direct
0.000 0.000 0.000
0.000 0.000 0.500
0.000 0.500 0.000
0.000 0.500 0.500
0.500 0.000 0.000
0.500 0.000 0.500
0.500 0.500 0.000
0.223 0.223 0.777
0.223 0.777 0.223
0.223 0.777 0.777
0.777 0.223 0.223
0.777 0.223 0.777
0.777 0.777 0.223
0.150 0.150 0.150
0.150 0.150 0.550
0.150 0.550 0.150
0.156 0.615 0.615
0.385 0.385 0.385
0.385 0.385 0.844
0.385 0.844 0.385
0.450 0.850 0.850
0.550 0.150 0.150
0.615 0.156 0.615
0.615 0.615 0.156
0.615 0.615 0.615
0.844 0.385 0.385
0.850 0.450 0.850
0.850 0.850 0.450
0.850 0.850 0.850
```

Computed properties:
- energy of formation (eV per atom) = 0.18
- DOS at the Fermi energy (states/eV/cell) = 50.0

First-principles (PBE) data for a relaxed structure of CoIr3Rh2, as listed in Alexandria via LeMat-Bulk.

Structure (POSCAR):
```
CoIr3Rh2
1.0
2.205 -7.015 0.000
2.205 7.015 0.000
0.000 0.000 2.730
Co Ir Rh
1 3 2
direct
0.000 0.000 0.000
0.145 0.855 0.500
0.500 0.500 0.500
0.855 0.145 0.500
0.315 0.685 0.000
0.685 0.315 0.000
```

Computed properties:
- offset from the most stable computed form (eV/atom) = 0.000
- energy of formation (eV per atom) = 0.23
- DOS at the Fermi energy (states/eV/cell) = 10.2

First-principles (PBE) data for a relaxed structure of Ce2Dy5Er2, as listed in Alexandria via LeMat-Bulk.

Structure (POSCAR):
```
Ce2Dy5Er2
1.0
8.264 -2.781 0.000
8.264 2.781 0.000
-2.490 0.000 6.109
Ce Dy Er
2 5 2
direct
0.077 0.077 0.487
0.923 0.923 0.513
0.000 0.000 0.000
0.207 0.207 0.054
0.322 0.322 0.648
0.678 0.678 0.352
0.793 0.793 0.946
0.437 0.437 0.223
0.563 0.563 0.777
```

Computed properties:
- energy of formation (eV per atom) = 0.12
- DOS at the Fermi energy (states/eV/cell) = 17.4

First-principles (PBE) data for a relaxed structure of AcTb2Nd6Tm, as listed in Alexandria via LeMat-Bulk.

Structure (POSCAR):
```
AcTb2Nd6Tm
1.0
4.704 -7.785 0.000
4.704 7.785 0.000
-0.948 0.000 9.678
Ac Tb Nd Tm
2 4 12 2
direct
0.026 0.974 0.750
0.974 0.026 0.250
0.205 0.317 0.547
0.317 0.205 0.047
0.683 0.795 0.953
0.795 0.683 0.453
0.007 0.558 0.688
0.128 0.756 0.054
0.244 0.872 0.446
0.289 0.507 0.883
0.442 0.993 0.812
0.493 0.711 0.617
0.507 0.289 0.383
0.558 0.007 0.188
0.711 0.493 0.117
0.756 0.128 0.554
0.872 0.244 0.946
0.993 0.442 0.312
0.414 0.586 0.250
0.586 0.414 0.750
```

Computed properties:
- energy of formation (eV per atom) = 0.12
- DOS at the Fermi energy (states/eV/cell) = 28.3

First-principles (PBE) data for a relaxed structure of Y2InPd, as listed in Alexandria via LeMat-Bulk.

Structure (POSCAR):
```
Y2InPd
1.0
-1.887 1.887 7.906
1.887 -1.887 7.906
1.887 1.887 -7.906
Y In Pd
2 1 1
direct
0.175 0.175 0.000
0.825 0.825 0.000
0.500 0.500 0.000
0.000 0.000 0.000
```

Computed properties:
- energy of formation (eV per atom) = -0.21
- DOS at the Fermi energy (states/eV/cell) = 4.9

First-principles (PBE) data for a relaxed structure of Zr2ZnSe, as listed in Alexandria via LeMat-Bulk.

Structure (POSCAR):
```
Zr2ZnSe
1.0
-1.998 1.998 4.884
1.998 -1.998 4.884
1.998 1.998 -4.884
Zr Zn Se
2 1 1
direct
0.000 0.000 0.000
0.750 0.250 0.500
0.500 0.500 0.000
0.250 0.750 0.500
```

Computed properties:
- formation energy without anion corrections (eV per atom) = -0.368
- offset from the most stable computed form (eV/atom) = 0.314
- DOS at the Fermi energy (states/eV/cell) = 3.6

First-principles (PBE) data for a relaxed structure of YS2ClF, as listed in Alexandria via LeMat-Bulk.

Structure (POSCAR):
```
YS2ClF
1.0
4.293 0.000 0.000
0.000 4.293 0.000
0.000 0.000 5.048
Y S Cl F
1 2 1 1
direct
0.000 0.000 0.000
0.000 0.500 0.500
0.500 0.000 0.500
0.500 0.500 0.000
0.500 0.500 0.500
```

Computed properties:
- formation energy without anion corrections (eV per atom) = -0.671
- offset from the most stable computed form (eV/atom) = 0.000
- DOS at the Fermi energy (states/eV/cell) = 2.6

First-principles (PBE) data for a relaxed structure of As2I3Br4, as listed in Alexandria via LeMat-Bulk.

Structure (POSCAR):
```
As2I3Br4
1.0
8.824 -10.954 0.000
8.824 10.954 0.000
-1.107 0.000 5.636
As I Br
4 6 8
direct
0.122 0.351 0.210
0.351 0.122 0.710
0.649 0.878 0.290
0.878 0.649 0.790
0.018 0.982 0.250
0.193 0.323 0.637
0.323 0.193 0.137
0.677 0.807 0.863
0.807 0.677 0.363
0.982 0.018 0.750
0.049 0.710 0.799
0.135 0.523 0.271
0.290 0.951 0.701
0.477 0.865 0.229
0.523 0.135 0.771
0.710 0.049 0.299
0.865 0.477 0.729
0.951 0.290 0.201
```

Computed properties:
- formation energy without anion corrections (eV per atom) = -0.280

Number 1: E -10.15 eV per atom. Number 2: E -5.05 eV per atom. Number 3: E -4.86 eV per atom. Number 4: E -0.99 eV per atom. Number 5: E -5.52 eV per atom. Number 6: E -7.83 eV per atom. Number 7: E -4.77 eV per atom. Number 8: E -4.53 eV per atom. Number 9: E -5.43 eV per atom. Number 10: E -5.83 eV per atom. Number 11: E -4.36 eV per atom. Number 12: E -2.57 eV per atom.